A relaxed structure of Zr2Al2O5. Source: the Open Quantum Materials Database, functional GGA-PBE.

Output
The value obtained for the energy above the lowest structure with this stoichiometry is 0.0000 eV/atom. As for the crystal system: tetragonal. As for the total energy: -70.2 eV for the cell shown.

a = 8.9379 Å, b = 3.5066 Å, c = 3.5066 Å
α = 90.00°, β = 90.00°, γ = 90.00°
Fractional coordinates of all 9 atoms:
Al1 0.0000 0.0000 0.0000
Al2 0.5000 0.0000 0.0000
O1 0.1326 0.5000 0.0000
O2 0.8674 0.5000 0.0000
O3 0.1326 0.0000 0.5000
O4 0.8674 0.0000 0.5000
O5 0.5000 0.5000 0.5000
Zr1 0.2587 0.5000 0.5000
Zr2 0.7413 0.5000 0.5000

A relaxed structure of K3OsS4. Source: the Open Quantum Materials Database, functional GGA-PBE.

Output
As for the crystal system: orthorhombic. As for the total energy: -73.5 eV for the cell shown.

a = 7.7403 Å, b = 7.7403 Å, c = 7.6518 Å
α = 90.00°, β = 90.00°, γ = 93.37°
Each line ends with the local moment (μB).
Fractional coordinates of all 16 atoms:
K1 0.2005 0.7994 0.4798  0.00
K2 0.2471 0.3079 0.4888  0.00
K3 0.6921 0.7529 0.4888  0.00
K4 0.7994 0.2005 0.9798  0.00
K5 0.3079 0.2471 0.9888  0.00
K6 0.7529 0.6921 0.9888  0.00
Os1 0.7455 0.2545 0.4801  0.51
Os2 0.2545 0.7455 0.9801  0.50
S1 0.1006 0.5602 0.1471  0.06
S2 0.4398 0.8994 0.1471  0.06
S3 0.6002 0.3998 0.2837  0.06
S4 0.9208 0.0792 0.3466  0.06
S5 0.5602 0.1006 0.6471  0.06
S6 0.8994 0.4398 0.6471  0.06
S7 0.3998 0.6002 0.7837  0.06
S8 0.0792 0.9208 0.8466  0.06

A relaxed structure of CsRbTcSeS2. Source: the Open Quantum Materials Database, functional GGA-PBE.

Output
As for the crystal system: triclinic. As for the total energy: -57.6 eV for the cell shown.

a = 7.1204 Å, b = 7.8792 Å, c = 8.9443 Å
α = 74.50°, β = 66.59°, γ = 63.20°
Each line ends with the local moment (μB).
Fractional coordinates of all 12 atoms:
Cs1 0.7835 0.6009 0.3189  0.01
Cs2 0.2165 0.3991 0.6811  0.01
Rb1 0.5776 0.2016 0.1356  0.01
Rb2 0.4224 0.7984 0.8644  0.01
S1 0.2841 0.6431 0.2704  0.04
S2 0.2547 0.9962 0.4974  0.03
S3 0.7453 0.0038 0.5026  0.03
S4 0.7159 0.3569 0.7296  0.04
Se1 0.1065 0.1694 0.1097  0.04
Se2 0.8935 0.8306 0.8903  0.04
Tc1 0.1046 0.9398 0.3438  0.59
Tc2 0.8954 0.0602 0.6562  0.59

A relaxed structure of ZrW. Source: the Open Quantum Materials Database, functional GGA-PBE.

Output
The calculation puts the energy relative to the elements at 0.3988 eV per atom. As for the crystal system: orthorhombic. As for the total energy: -82.8 eV for the cell shown.

a = 5.5191 Å, b = 5.5625 Å, c = 4.9791 Å
α = 90.00°, β = 90.00°, γ = 90.00°
Fractional coordinates of all 8 atoms:
W1 0.0359 0.5097 0.0000
W2 0.5359 0.7403 0.0000
W3 0.2974 0.5097 0.5000
W4 0.7974 0.7403 0.5000
Zr1 0.5327 0.2561 0.0000
Zr2 0.0327 0.9939 0.0000
Zr3 0.8006 0.2561 0.5000
Zr4 0.3006 0.9939 0.5000

A relaxed structure of Ac3Fe. Source: the Open Quantum Materials Database, functional GGA-PBE.

Output
The value obtained for the energy above the lowest structure with this stoichiometry is 0.0000 eV/atom. The calculation puts the energy relative to the elements at 0.4701 eV per atom. As for the crystal system: hexagonal. As for the total energy: -37.5 eV for the cell shown.

a = 7.6568 Å, b = 7.6568 Å, c = 5.4944 Å
α = 90.00°, β = 90.00°, γ = 120.00°
Each line ends with the local moment (μB).
Fractional coordinates of all 8 atoms:
Ac1 0.1789 0.3578 0.2500  -0.06
Ac2 0.1789 0.8211 0.2500  -0.06
Ac3 0.6422 0.8211 0.2500  -0.08
Ac4 0.3578 0.1789 0.7500  -0.08
Ac5 0.8211 0.1789 0.7500  -0.06
Ac6 0.8211 0.6422 0.7500  -0.06
Fe1 0.6667 0.3333 0.2500  2.94
Fe2 0.3333 0.6667 0.7500  2.94

A relaxed structure of La3AuO6. Source: the Open Quantum Materials Database, functional GGA-PBE.

Output
The value obtained for the energy above the lowest structure with this stoichiometry is 0.0000 eV/atom. As for the crystal system: triclinic. As for the total energy: -74.6 eV for the cell shown.

a = 3.8939 Å, b = 5.7490 Å, c = 7.1263 Å
α = 91.40°, β = 103.38°, γ = 90.64°
Fractional coordinates of all 10 atoms:
Au1 0.0000 0.0000 0.0000
La1 0.3903 0.4795 0.2301
La2 0.0000 0.0000 0.5000
La3 0.6097 0.5205 0.7699
O1 0.8520 0.7186 0.1332
O2 0.8693 0.2206 0.1958
O3 0.4906 0.7454 0.4881
O4 0.5094 0.2546 0.5119
O5 0.1307 0.7794 0.8042
O6 0.1480 0.2814 0.8668